(1)
A plane-wave DFT calculation with GGA-PBE was carried out for a relaxed NaTmAgPd crystal.

```
data_NaTmAgPd
_chemical_formula_sum 'Na4 Tm4 Ag4 Pd4'
_space_group_name_H-M_alt 'F -4 3 m'
_space_group_IT_number 216
_space_group_name_Hall 'F -4 2 3'
_cell_length_a 6.942
_cell_length_b 6.942
_cell_length_c 6.942
_cell_angle_alpha 90.00
_cell_angle_beta 90.00
_cell_angle_gamma 90.00
loop_
_atom_site_label
_atom_site_fract_x
_atom_site_fract_y
_atom_site_fract_z
Na1 0.000 0.000 0.000
Tm1 0.000 0.000 0.500
Ag1 0.250 0.250 0.750
Pd1 0.250 0.250 0.250
```

Summary:
formation energy from the elements: -310 meV/atom
VASP energy: -3.769 eV per atom
total magnetization: 0.00 μB per cell


(2)
A plane-wave DFT calculation with GGA-PBE was carried out for a relaxed Na2AgPdW crystal.

```
data_Na2AgPdW
_chemical_formula_sum 'Na2 Ag1 Pd1 W1'
_space_group_name_H-M_alt 'P 4/m m m'
_space_group_IT_number 123
_space_group_name_Hall '-P 4 2'
_cell_length_a 5.014
_cell_length_b 5.014
_cell_length_c 5.129
_cell_angle_alpha 90.00
_cell_angle_beta 90.00
_cell_angle_gamma 90.00
loop_
_atom_site_label
_atom_site_fract_x
_atom_site_fract_y
_atom_site_fract_z
Na1 0.000 0.500 0.000
Ag1 0.000 0.000 0.000
Pd1 0.000 0.000 0.500
W1 0.500 0.500 0.500
```

Summary:
formation energy from the elements: 1468 meV/atom
VASP energy: -3.259 eV per atom
total magnetization: 4.55 μB per cell


(3)
A plane-wave DFT calculation with GGA-PBE was carried out for a relaxed NaYAg2Pd crystal.

```
data_NaYAg2Pd
_chemical_formula_sum 'Na1 Y1 Ag2 Pd1'
_space_group_name_H-M_alt 'P 4/m m m'
_space_group_IT_number 123
_space_group_name_Hall '-P 4 2'
_cell_length_a 4.712
_cell_length_b 4.712
_cell_length_c 5.635
_cell_angle_alpha 90.00
_cell_angle_beta 90.00
_cell_angle_gamma 90.00
loop_
_atom_site_label
_atom_site_fract_x
_atom_site_fract_y
_atom_site_fract_z
Na1 0.000 0.000 0.000
Y1 0.000 0.000 0.500
Ag1 0.000 0.500 0.000
Pd1 0.500 0.500 0.500
```

Summary:
formation energy from the elements: 792 meV/atom
VASP energy: -2.944 eV per atom
total magnetization: 0.00 μB per cell


(4)
A plane-wave DFT calculation with GGA-PBE was carried out for a relaxed NaYAgPd crystal.

```
data_NaYAgPd
_chemical_formula_sum 'Na4 Y4 Ag4 Pd4'
_space_group_name_H-M_alt 'F -4 3 m'
_space_group_IT_number 216
_space_group_name_Hall 'F -4 2 3'
_cell_length_a 7.021
_cell_length_b 7.021
_cell_length_c 7.021
_cell_angle_alpha 90.00
_cell_angle_beta 90.00
_cell_angle_gamma 90.00
loop_
_atom_site_label
_atom_site_fract_x
_atom_site_fract_y
_atom_site_fract_z
Na1 0.000 0.000 0.000
Y1 0.000 0.000 0.500
Ag1 0.250 0.250 0.250
Pd1 0.250 0.250 0.750
```

Summary:
formation energy from the elements: -308 meV/atom
VASP energy: -4.265 eV per atom
total magnetization: 0.00 μB per cell


(5)
A plane-wave DFT calculation with GGA-PBE was carried out for a relaxed NaZnAgPd crystal.

```
data_NaZnAgPd
_chemical_formula_sum 'Na4 Zn4 Ag4 Pd4'
_space_group_name_H-M_alt 'F -4 3 m'
_space_group_IT_number 216
_space_group_name_Hall 'F -4 2 3'
_cell_length_a 6.467
_cell_length_b 6.467
_cell_length_c 6.467
_cell_angle_alpha 90.00
_cell_angle_beta 90.00
_cell_angle_gamma 90.00
loop_
_atom_site_label
_atom_site_fract_x
_atom_site_fract_y
_atom_site_fract_z
Na1 0.000 0.000 0.000
Zn1 0.000 0.000 0.500
Ag1 0.250 0.250 0.750
Pd1 0.250 0.250 0.250
```

Summary:
formation energy from the elements: -96 meV/atom
VASP energy: -2.755 eV per atom
total magnetization: 0.00 μB per cell


(6)
A plane-wave DFT calculation with GGA-PBE was carried out for a relaxed NaPmAg4 crystal.

```
data_NaPmAg4
_chemical_formula_sum 'Na4 Pm4 Ag16'
_space_group_name_H-M_alt 'F -4 3 m'
_space_group_IT_number 216
_space_group_name_Hall 'F -4 2 3'
_cell_length_a 8.057
_cell_length_b 8.057
_cell_length_c 8.057
_cell_angle_alpha 90.00
_cell_angle_beta 90.00
_cell_angle_gamma 90.00
loop_
_atom_site_label
_atom_site_fract_x
_atom_site_fract_y
_atom_site_fract_z
Na1 0.000 0.000 0.000
Pm1 0.250 0.250 0.250
Ag1 0.126 0.126 0.626
```

Summary:
formation energy from the elements: -113 meV/atom
VASP energy: -3.025 eV per atom
total magnetization: 0.00 μB per cell


(7)
A plane-wave DFT calculation with GGA-PBE was carried out for a relaxed Na3PmAg8 crystal.

```
data_Na3PmAg8
_chemical_formula_sum 'Na3 Pm1 Ag8'
_space_group_name_H-M_alt 'P 3 m 1'
_space_group_IT_number 156
_space_group_name_Hall 'P 3 -2"'
_cell_length_a 5.6768
_cell_length_b 5.6768
_cell_length_c 9.3355
_cell_angle_alpha 90.00
_cell_angle_beta 90.00
_cell_angle_gamma 120.00
loop_
_atom_site_label
_atom_site_fract_x
_atom_site_fract_y
_atom_site_fract_z
Na1 0.0000 0.0000 0.0000
Na2 0.0000 0.0000 0.3615
Na3 0.3333 0.6667 0.8928
Pm1 0.3333 0.6667 0.5035
Ag1 0.0035 0.5018 0.1931
Ag2 0.3283 0.1641 0.6888
Ag3 0.6667 0.3333 0.4405
Ag4 0.6667 0.3333 0.9410
```

Summary:
formation energy from the elements: -106 meV/atom
VASP energy: -2.733 eV per atom
total magnetization: 0.00 μB per cell


(8)
A plane-wave DFT calculation with GGA-PBE was carried out for a relaxed NaPm2Ag4 crystal.

```
data_NaPm2Ag4
_chemical_formula_sum 'Na3 Pm6 Ag12'
_space_group_name_H-M_alt 'R -3 m'
_space_group_IT_number 166
_space_group_name_Hall '-R 3 2"'
_cell_length_a 5.1126
_cell_length_b 5.1126
_cell_length_c 24.3051
_cell_angle_alpha 90.00
_cell_angle_beta 90.00
_cell_angle_gamma 120.00
loop_
_atom_site_label
_atom_site_fract_x
_atom_site_fract_y
_atom_site_fract_z
Na1 0.0000 0.0000 0.0000
Pm1 0.0000 0.0000 0.2467
Ag1 0.0000 0.0000 0.1218
Ag2 0.0000 0.0000 0.3791
```

Summary:
formation energy from the elements: 17 meV/atom
VASP energy: -3.158 eV per atom
total magnetization: 0.00 μB per cell